This record from Alexandria describes a geometry-optimized HgRh2W structure. The functional is PBE-GGA.

The structure belongs to space group F-43m (No. 216); the cell edges are 6.376, 6.376 and 6.376 Å and the angles 90.00°, 90.00° and 90.00°. The inequivalent atoms are Hg at (0.000, 0.000, 0.000), Rh at (0.000, 0.000, 0.500), Rh at (0.250, 0.250, 0.250) and W at (0.250, 0.250, 0.750).

For the size of the total moment, the calculation gives 0.0 Bohr magnetons per cell. For the formation energy, the calculation gives 526 meV/atom.